Material: K2UCoS4
Method: DFT, PBE
State: optimized geometry

Properties
- Size of the total moment: 0.594 μB/atom
- E_form (uncorrected): -0.85 eV/atom
- Mass density: 3.60 g/cm3
- DOS(E_F): 8.9 states/eV/f.u.

Cell lengths 6.785, 6.785, 6.785 Å; angles 96.85, 116.13, 116.13 degrees
Each line ends with the local moment (μB).
Fractional coordinates of all 8 atoms:
1 K 0.500 0.750 0.250  0.00
2 K 0.000 0.000 0.000  0.01
3 U 0.500 0.250 0.750  2.11
4 Co 0.000 0.500 0.500  2.04
5 S 0.604 0.380 0.448  0.02
6 S 0.068 0.223 0.620  0.02
7 S 0.932 0.552 0.155  0.02
8 S 0.396 0.845 0.777  0.02